VASP calculation (PBE-GGA) on crystalline ZnPtN3 at its relaxed geometry.

Properties
**Formation energy from raw total energies**: 9.42 eV/f.u.
**Symmetry**: Pm-3m, No. 221
**Crystal system**: cubic

Lattice parameters (Å, degrees): 3.9160 3.9160 3.9160 90.00 90.00 90.00
With the nearest neighbours (Å) after each atom.
Element x y z (fractional)
Zn1 0.0000 0.0000 0.0000  12 N 2.77
Pt1 0.5000 0.5000 0.5000  6 N 1.96
N1 0.0000 0.5000 0.5000  2 Pt 1.96
N2 0.5000 0.0000 0.5000  2 Pt 1.96
N3 0.5000 0.5000 0.0000  2 Pt 1.96